{
  "formula": "In2BiPt2",
  "functional": "PBE",
  "state": "optimized geometry",
  "lattice_angstrom": [[-0.927, 0.420, -4.058], [2.748, -3.012, -0.939], [-3.636, -5.627, -1.909]],
  "species": ["Bi", "In", "In", "Pt", "Pt"],
  "frac_coords": [[0.000, 0.000, 0.000], [0.750, 0.250, 0.500], [0.250, 0.750, 0.500], [0.607, 0.607, 0.785], [0.393, 0.393, 0.215]],
  "magmom_total_mub_per_cell": 0.00,
  "total_energy_ev_per_cell": -22.65,
  "ef_ev_per_atom": -0.243
}